Version P
{
  "formula": "U3Nb",
  "functional": "PBE",
  "state": "optimized geometry",
  "density_g_cm3": 16.4,
  "dos_at_fermi_per_ev_fu": 8.13,
  "lattice": [[3.8458, 0.0000, 0.0000], [0.0000, 3.8458, 0.0000], [0.0000, 0.0000, 5.5154]],
  "species": ["U", "U", "U", "Nb"],
  "fractional_positions": [[0.0000, 0.0000, 0.0000], [0.0000, 0.0000, 0.5000], [0.5000, 0.5000, 0.0000], [0.5000, 0.5000, 0.5000]]
}


Version Q
{
  "formula": "U3Nb",
  "functional": "PBE",
  "state": "optimized geometry",
  "density_g_cm3": 16.1,
  "dos_at_fermi_per_ev_fu": 11.15,
  "lattice": [[5.9238, 0.0000, 0.0000], [-2.9619, 5.1302, 0.0000], [0.0000, 0.0000, 5.4787]],
  "species": ["U", "U", "U", "U", "U", "U", "Nb", "Nb"],
  "fractional_positions": [[0.1769, 0.3538, 0.2500], [0.1769, 0.8231, 0.2500], [0.3538, 0.1769, 0.7500], [0.6462, 0.8231, 0.2500], [0.8231, 0.1769, 0.7500], [0.8231, 0.6462, 0.7500], [0.3333, 0.6667, 0.7500], [0.6667, 0.3333, 0.2500]]
}


Most stable one: version Q, least stable one: version P.


Version P
{
  "formula": "UNb",
  "functional": "PBE",
  "state": "optimized geometry",
  "density_g_cm3": 14.1,
  "dos_at_fermi_per_ev_fu": 4.54,
  "lattice": [[1.6219, -2.4748, 0.0000], [1.6219, 2.4748, 0.0000], [0.0000, 0.0000, 4.8520]],
  "species": ["U", "Nb"],
  "fractional_positions": [[0.0000, 0.0000, 0.0000], [0.5000, 0.5000, 0.5000]]
}


Version Q
{
  "formula": "UNb",
  "functional": "PBE",
  "state": "optimized geometry",
  "density_g_cm3": 13.9,
  "dos_at_fermi_per_ev_fu": 4.50,
  "lattice": [[2.8592, 0.0000, 0.0000], [0.0000, 4.8696, 0.0000], [0.0000, 0.0000, 5.6749]],
  "species": ["U", "U", "Nb", "Nb"],
  "fractional_positions": [[0.2500, 0.2500, 0.0947], [0.7500, 0.7500, 0.9053], [0.2500, 0.2500, 0.5882], [0.7500, 0.7500, 0.4118]]
}


Most stable one: version P, least stable one: version Q.


Version P
{
  "formula": "ZrUNb",
  "functional": "PBE",
  "state": "optimized geometry",
  "density_g_cm3": 11.4,
  "dos_at_fermi_per_ev_fu": 5.65,
  "lattice": [[0.0000, 2.5728, 7.4020], [1.6093, 0.0000, 7.4020], [1.6093, 2.5728, 0.0000]],
  "species": ["Zr", "U", "Nb"],
  "fractional_positions": [[0.0000, 0.0000, 0.0000], [0.6759, 0.6759, 0.3241], [0.3292, 0.3292, 0.6708]]
}


Version Q
{
  "formula": "ZrUNb",
  "functional": "PBE",
  "state": "optimized geometry",
  "density_g_cm3": 10.8,
  "dos_at_fermi_per_ev_fu": 6.93,
  "lattice": [[0.0000, 4.6273, 4.8700], [2.8699, 0.0000, 4.8700], [2.8699, 4.6273, 0.0000]],
  "species": ["Zr", "Zr", "U", "U", "Nb", "Nb"],
  "fractional_positions": [[0.1670, 0.8330, 0.1670], [0.8330, 0.1670, 0.8330], [0.2500, 0.2500, 0.2500], [0.7500, 0.7500, 0.7500], [0.3316, 0.3316, 0.6684], [0.6684, 0.6684, 0.3316]]
}


Most stable one: version P, least stable one: version Q.


Version P
{
  "formula": "NbV4",
  "functional": "PBE",
  "state": "optimized geometry",
  "density_g_cm3": 6.6,
  "dos_at_fermi_per_ev_fu": 6.68,
  "lattice": [[5.2222, 0.0000, 0.0000], [0.0000, 6.7240, 0.0000], [-2.0121, 0.0000, 4.2674]],
  "species": ["Nb", "Nb", "V", "V", "V", "V", "V", "V", "V", "V"],
  "fractional_positions": [[0.0000, 0.1549, 0.2500], [0.0000, 0.8451, 0.7500], [0.2547, 0.4963, 0.2308], [0.2547, 0.5037, 0.7308], [0.3578, 0.1527, 0.9243], [0.3578, 0.8473, 0.4243], [0.6422, 0.1527, 0.5757], [0.6422, 0.8473, 0.0757], [0.7453, 0.4963, 0.2692], [0.7453, 0.5037, 0.7692]]
}


Version Q
{
  "formula": "NbV4",
  "functional": "PBE",
  "state": "optimized geometry",
  "density_g_cm3": 6.4,
  "dos_at_fermi_per_ev_fu": 4.76,
  "lattice": [[-1.7872, 1.7872, 6.0260], [1.7872, -1.7872, 6.0260], [1.7872, 1.7872, -6.0260]],
  "species": ["Nb", "V", "V", "V", "V"],
  "fractional_positions": [[0.0000, 0.0000, 0.0000], [0.2500, 0.7500, 0.5000], [0.3988, 0.3988, 0.0000], [0.6012, 0.6012, 0.0000], [0.7500, 0.2500, 0.5000]]
}


Version R
{
  "formula": "NbV4",
  "functional": "PBE",
  "state": "optimized geometry",
  "density_g_cm3": 5.2,
  "dos_at_fermi_per_ev_fu": 7.47,
  "lattice": [[4.5691, 0.0000, 0.0000], [0.0000, 4.5691, 0.0000], [0.0000, 0.0000, 4.5691]],
  "species": ["Nb", "V", "V", "V", "V"],
  "fractional_positions": [[0.0000, 0.0000, 0.0000], [0.0000, 0.0000, 0.5000], [0.0000, 0.5000, 0.0000], [0.5000, 0.0000, 0.0000], [0.5000, 0.5000, 0.5000]]
}


Most stable one: version P, least stable one: version R.


Version P
{
  "formula": "Nb4V",
  "functional": "PBE",
  "state": "optimized geometry",
  "density_g_cm3": 7.2,
  "dos_at_fermi_per_ev_fu": 5.92,
  "lattice": [[0.0000, 3.6911, 4.6203], [2.8567, 0.0000, 4.6203], [2.8567, 3.6911, 0.0000]],
  "species": ["Nb", "Nb", "Nb", "Nb", "V"],
  "fractional_positions": [[0.1755, 0.8245, 0.1755], [0.2500, 0.2500, 0.2500], [0.7500, 0.7500, 0.7500], [0.8245, 0.1755, 0.8245], [0.5000, 0.5000, 0.5000]]
}


Version Q
{
  "formula": "Nb4V",
  "functional": "PBE",
  "state": "optimized geometry",
  "density_g_cm3": 7.8,
  "dos_at_fermi_per_ev_fu": 5.56,
  "lattice": [[2.9357, -8.1284, 0.0000], [2.9357, 8.1284, 0.0000], [-2.7938, 0.0000, 3.7828]],
  "species": ["Nb", "Nb", "Nb", "Nb", "Nb", "Nb", "Nb", "Nb", "V", "V"],
  "fractional_positions": [[0.0701, 0.4692, 0.7585], [0.0963, 0.2628, 0.1159], [0.2628, 0.0963, 0.6159], [0.4692, 0.0701, 0.2585], [0.5308, 0.9299, 0.7415], [0.7372, 0.9037, 0.3841], [0.9037, 0.7372, 0.8841], [0.9299, 0.5308, 0.2415], [0.4492, 0.5508, 0.7500], [0.5508, 0.4492, 0.2500]]
}


Version R
{
  "formula": "Nb4V",
  "functional": "PBE",
  "state": "optimized geometry",
  "density_g_cm3": 7.0,
  "dos_at_fermi_per_ev_fu": 3.96,
  "lattice": [[4.6356, 0.0000, 0.0000], [0.0000, 4.6356, 0.0000], [0.0000, 0.0000, 4.6356]],
  "species": ["Nb", "Nb", "Nb", "Nb", "V"],
  "fractional_positions": [[0.0000, 0.0000, 0.0000], [0.0000, 0.5000, 0.5000], [0.5000, 0.0000, 0.5000], [0.5000, 0.5000, 0.0000], [0.5000, 0.5000, 0.5000]]
}


Most stable one: version Q, least stable one: version R.


Version P
{
  "formula": "Nb2V",
  "functional": "PBE",
  "state": "optimized geometry",
  "density_g_cm3": 7.8,
  "dos_at_fermi_per_ev_fu": 5.78,
  "lattice": [[3.9613, -2.2810, 0.0000], [3.9613, 2.2810, 0.0000], [-0.0083, 0.0000, 2.7881]],
  "species": ["Nb", "Nb", "V"],
  "fractional_positions": [[0.1667, 0.1667, 0.3380], [0.8333, 0.8333, 0.6620], [0.5000, 0.5000, 0.0000]]
}


Version Q
{
  "formula": "Nb2V",
  "functional": "PBE",
  "state": "optimized geometry",
  "density_g_cm3": 7.8,
  "dos_at_fermi_per_ev_fu": 5.16,
  "lattice": [[2.2740, -2.2584, 0.0000], [2.2740, 2.2584, 0.0000], [-2.2175, 0.0000, 4.8913]],
  "species": ["Nb", "Nb", "V"],
  "fractional_positions": [[0.1598, 0.1598, 0.3200], [0.8402, 0.8402, 0.6800], [0.5000, 0.5000, 0.0000]]
}


Most stable one: version Q, least stable one: version P.


Version P
{
  "formula": "NbVW2",
  "functional": "PBE",
  "state": "optimized geometry",
  "density_g_cm3": 12.3,
  "dos_at_fermi_per_ev_fu": 4.56,
  "lattice": [[-1.4816, 2.2300, 5.2303], [1.4816, -2.2300, 5.2303], [1.4816, 2.2300, -5.2303]],
  "species": ["Nb", "V", "W", "W"],
  "fractional_positions": [[0.0000, 0.0000, 0.0000], [0.5000, 0.5000, 0.0000], [0.2602, 0.2602, 0.0000], [0.7398, 0.7398, 0.0000]]
}


Version Q
{
  "formula": "NbVW2",
  "functional": "PBE",
  "state": "optimized geometry",
  "density_g_cm3": 13.3,
  "dos_at_fermi_per_ev_fu": 3.59,
  "lattice": [[4.4744, 0.0000, 0.0000], [0.0000, 4.4744, 0.0000], [0.0000, 0.0000, 3.1878]],
  "species": ["Nb", "V", "W", "W"],
  "fractional_positions": [[0.0000, 0.0000, 0.0000], [0.5000, 0.5000, 0.0000], [0.0000, 0.5000, 0.5000], [0.5000, 0.0000, 0.5000]]
}


Version R
{
  "formula": "NbVW2",
  "functional": "PBE",
  "state": "optimized geometry",
  "density_g_cm3": 12.2,
  "dos_at_fermi_per_ev_fu": 3.58,
  "lattice": [[-1.8530, 1.8530, 10.1074], [1.8530, -1.8530, 10.1074], [1.8530, 1.8530, -10.1074]],
  "species": ["Nb", "Nb", "V", "V", "W", "W", "W", "W"],
  "fractional_positions": [[0.0000, 0.0000, 0.0000], [0.7500, 0.2500, 0.5000], [0.2500, 0.7500, 0.5000], [0.5000, 0.5000, 0.0000], [0.1287, 0.6250, 0.0037], [0.3750, 0.3787, 0.5037], [0.6213, 0.1250, 0.9963], [0.8750, 0.8713, 0.4963]]
}


Version S
{
  "formula": "NbVW2",
  "functional": "PBE",
  "state": "optimized geometry",
  "density_g_cm3": 13.3,
  "dos_at_fermi_per_ev_fu": 3.08,
  "lattice": [[0.0000, 3.1710, 3.1710], [3.1710, 0.0000, 3.1710], [3.1710, 3.1710, 0.0000]],
  "species": ["Nb", "V", "W", "W"],
  "fractional_positions": [[0.0000, 0.0000, 0.0000], [0.5000, 0.5000, 0.5000], [0.2500, 0.2500, 0.2500], [0.7500, 0.7500, 0.7500]]
}


Most stable one: version S, least stable one: version R.


Version P
{
  "formula": "NbVW2",
  "functional": "PBE",
  "state": "optimized geometry",
  "density_g_cm3": 13.3,
  "dos_at_fermi_per_ev_fu": 3.11,
  "lattice": [[2.7511, 0.0000, 0.0000], [0.0118, 4.4935, 0.0000], [0.8972, -0.0017, 5.1698]],
  "species": ["Nb", "V", "W", "W"],
  "fractional_positions": [[0.0000, 0.0000, 0.0000], [0.5000, 0.0000, 0.5000], [0.2514, 0.5002, 0.2557], [0.7486, 0.4998, 0.7443]]
}


Version Q
{
  "formula": "NbVW2",
  "functional": "PBE",
  "state": "optimized geometry",
  "density_g_cm3": 13.4,
  "dos_at_fermi_per_ev_fu": 3.26,
  "lattice": [[3.1696, 0.0000, 0.0000], [0.0000, 3.1696, 0.0000], [0.0000, 0.0000, 6.3310]],
  "species": ["Nb", "V", "W", "W"],
  "fractional_positions": [[0.0000, 0.0000, 0.0000], [0.0000, 0.0000, 0.5000], [0.5000, 0.5000, 0.2611], [0.5000, 0.5000, 0.7389]]
}


Version R
{
  "formula": "NbVW2",
  "functional": "PBE",
  "state": "optimized geometry",
  "density_g_cm3": 13.3,
  "dos_at_fermi_per_ev_fu": 3.74,
  "lattice": [[1.5878, -2.2633, 0.0000], [1.5878, 2.2633, 0.0000], [0.0000, 0.0000, 8.8809]],
  "species": ["Nb", "V", "W", "W"],
  "fractional_positions": [[0.0000, 0.0000, 0.0000], [0.0000, 0.0000, 0.5000], [0.5000, 0.5000, 0.2638], [0.5000, 0.5000, 0.7362]]
}


Most stable one: version R, least stable one: version Q.


Version P
{
  "formula": "Nb6VW",
  "functional": "PBE",
  "state": "optimized geometry",
  "density_g_cm3": 9.2,
  "dos_at_fermi_per_ev_fu": 9.34,
  "lattice": [[4.7655, 2.7514, 1.8170], [-4.7655, 2.7514, 1.8170], [0.0000, -5.5027, 1.8170]],
  "species": ["Nb", "Nb", "Nb", "Nb", "Nb", "Nb", "V", "W"],
  "fractional_positions": [[0.2500, 0.2500, 0.7470], [0.2500, 0.7470, 0.2500], [0.2530, 0.7500, 0.7500], [0.7470, 0.2500, 0.2500], [0.7500, 0.2530, 0.7500], [0.7500, 0.7500, 0.2530], [0.5000, 0.5000, 0.5000], [0.0000, 0.0000, 0.0000]]
}


Version Q
{
  "formula": "Nb6VW",
  "functional": "PBE",
  "state": "optimized geometry",
  "density_g_cm3": 9.4,
  "dos_at_fermi_per_ev_fu": 14.46,
  "lattice": [[4.5975, 0.0000, 0.0000], [0.0000, 3.2728, 4.6464], [0.0000, -3.2728, 4.6464]],
  "species": ["Nb", "Nb", "Nb", "Nb", "Nb", "Nb", "V", "W"],
  "fractional_positions": [[0.0000, 0.0000, 0.0000], [0.0000, 0.0027, 0.4945], [0.0000, 0.4945, 0.0027], [0.5000, 0.2523, 0.7439], [0.5000, 0.7439, 0.2523], [0.5000, 0.7484, 0.7484], [0.5000, 0.2491, 0.2491], [0.0000, 0.4966, 0.4966]]
}


Most stable one: version Q, least stable one: version P.


Version P
{
  "formula": "Nb4VW4",
  "functional": "PBE",
  "state": "optimized geometry",
  "density_g_cm3": 12.5,
  "dos_at_fermi_per_ev_fu": 8.19,
  "lattice": [[-4.0382, 4.0382, 2.3666], [4.0382, -4.0382, 2.3666], [4.0382, 4.0382, -2.3666]],
  "species": ["Nb", "Nb", "Nb", "Nb", "V", "W", "W", "W", "W"],
  "fractional_positions": [[0.0000, 0.3216, 0.3216], [0.0000, 0.6784, 0.6784], [0.3216, 0.0000, 0.3216], [0.6784, 0.0000, 0.6784], [0.0000, 0.0000, 0.0000], [0.3385, 0.3385, 0.6771], [0.3385, 0.6615, 0.0000], [0.6615, 0.3385, 0.0000], [0.6615, 0.6615, 0.3229]]
}


Version Q
{
  "formula": "Nb4VW4",
  "functional": "PBE",
  "state": "optimized geometry",
  "density_g_cm3": 11.5,
  "dos_at_fermi_per_ev_fu": 11.13,
  "lattice": [[7.9339, 0.0000, 0.0000], [0.0000, 7.9339, 0.0000], [0.0000, 0.0000, 5.3303]],
  "species": ["Nb", "Nb", "Nb", "Nb", "Nb", "Nb", "Nb", "Nb", "V", "V", "W", "W", "W", "W", "W", "W", "W", "W"],
  "fractional_positions": [[0.0642, 0.2500, 0.1256], [0.2500, 0.0642, 0.6256], [0.2500, 0.4358, 0.6256], [0.4358, 0.2500, 0.1256], [0.5642, 0.7500, 0.8744], [0.7500, 0.5642, 0.3744], [0.7500, 0.9358, 0.3744], [0.9358, 0.7500, 0.8744], [0.2500, 0.7500, 0.7500], [0.7500, 0.2500, 0.2500], [0.0477, 0.7500, 0.3635], [0.2500, 0.5477, 0.1365], [0.2500, 0.9523, 0.1365], [0.4523, 0.7500, 0.3635], [0.5477, 0.2500, 0.6365], [0.7500, 0.0477, 0.8635], [0.7500, 0.4523, 0.8635], [0.9523, 0.2500, 0.6365]]
}


Most stable one: version P, least stable one: version Q.